Run P
First-principles (PBE-GGA) data for an optimized crystal structure of Mg2FeCl, as listed in Alexandria via LeMat-Bulk.

CIF file:
```
data_Mg2FeCl
_cell_length_a 3.1945
_cell_length_b 3.1945
_cell_length_c 24.4010
_cell_angle_alpha 90.00
_cell_angle_beta 90.00
_cell_angle_gamma 120.00
_symmetry_space_group_name_H-M 'R -3 m'
_symmetry_Int_Tables_number 166
_symmetry_space_group_name_Hall '-R 3 2"'
loop_
_atom_site_label
_atom_site_fract_x
_atom_site_fract_y
_atom_site_fract_z
Mg1 0.0000 0.0000 0.2494
Fe1 0.0000 0.0000 0.5000
Cl1 0.0000 0.0000 0.0000
```

Calculated values
- ρ: 3.23 g/cm3

=====

Run Q
First-principles (PBE-GGA) data for an optimized crystal structure of Mg2FeCl, as listed in Alexandria via LeMat-Bulk.

CIF file:
```
data_Mg2FeCl
_cell_length_a 10.380
_cell_length_b 3.026
_cell_length_c 4.994
_cell_angle_alpha 90.00
_cell_angle_beta 107.76
_cell_angle_gamma 90.00
_symmetry_space_group_name_H-M 'C 1 m 1'
_symmetry_Int_Tables_number 8
loop_
_symmetry_equiv_pos_as_xyz
'x,y,z'
'x,-y,z'
'x+1/2,y+1/2,z'
'x+1/2,-y+1/2,z'
loop_
_atom_site_label
_atom_site_fract_x
_atom_site_fract_y
_atom_site_fract_z
Mg1 0.000 0.000 0.000
Mg2 0.208 0.000 0.627
Fe1 0.474 0.000 0.519
Cl1 0.301 0.500 0.211
```

Calculated values
- ρ: 3.11 g/cm3

=====

Verdict on stability: run Q comes out at the bottom.

=====

Run P
First-principles (PBE-GGA) data for an optimized crystal structure of MgFeCl, as listed in Alexandria via LeMat-Bulk.

CIF file:
```
data_MgFeCl
_cell_length_a 3.2173
_cell_length_b 3.2173
_cell_length_c 5.8239
_cell_angle_alpha 90.00
_cell_angle_beta 90.00
_cell_angle_gamma 120.00
_symmetry_space_group_name_H-M 'P 3 m 1'
_symmetry_Int_Tables_number 156
loop_
_symmetry_equiv_pos_as_xyz
'x,y,z'
'-y,x-y,z'
'-x+y,-x,z'
'-y,-x,z'
'-x+y,y,z'
'x,x-y,z'
loop_
_atom_site_label
_atom_site_fract_x
_atom_site_fract_y
_atom_site_fract_z
Mg1 0.0000 0.0000 0.0000
Fe1 0.3333 0.6667 0.6607
Cl1 0.6667 0.3333 0.3567
```

Calculated values
- ρ: 3.68 g/cm3

=====

Run Q
First-principles (PBE-GGA) data for an optimized crystal structure of MgFeCl, as listed in Alexandria via LeMat-Bulk.

CIF file:
```
data_MgFeCl
_cell_length_a 4.2788
_cell_length_b 4.2788
_cell_length_c 3.1648
_cell_angle_alpha 90.00
_cell_angle_beta 90.00
_cell_angle_gamma 120.00
_symmetry_space_group_name_H-M 'P -6 m 2'
_symmetry_Int_Tables_number 187
_symmetry_space_group_name_Hall 'P -6 2'
loop_
_atom_site_label
_atom_site_fract_x
_atom_site_fract_y
_atom_site_fract_z
Mg1 0.0000 0.0000 0.0000
Fe1 0.6667 0.3333 0.5000
Cl1 0.3333 0.6667 0.5000
```

Calculated values
- ρ: 3.83 g/cm3

=====

Run R
First-principles (PBE-GGA) data for an optimized crystal structure of MgFeCl, as listed in Alexandria via LeMat-Bulk.

CIF file:
```
data_MgFeCl
_cell_length_a 6.154
_cell_length_b 6.154
_cell_length_c 6.154
_cell_angle_alpha 90.00
_cell_angle_beta 90.00
_cell_angle_gamma 90.00
_symmetry_space_group_name_H-M 'F -4 3 m'
_symmetry_Int_Tables_number 216
_symmetry_space_group_name_Hall 'F -4 2 3'
loop_
_atom_site_label
_atom_site_fract_x
_atom_site_fract_y
_atom_site_fract_z
Mg1 0.000 0.000 0.000
Fe1 0.000 0.000 0.500
Cl1 0.250 0.250 0.750
```

Calculated values
- ρ: 3.29 g/cm3

=====

Verdict on stability: run R comes out at the bottom.

=====

Run P
First-principles (PBE-GGA) data for an optimized crystal structure of MgFeCl, as listed in Alexandria via LeMat-Bulk.

CIF file:
```
data_MgFeCl
_cell_length_a 3.413
_cell_length_b 5.181
_cell_length_c 11.925
_cell_angle_alpha 90.00
_cell_angle_beta 90.00
_cell_angle_gamma 90.00
_symmetry_space_group_name_H-M 'F m m 2'
_symmetry_Int_Tables_number 42
_symmetry_space_group_name_Hall 'F 2 -2'
loop_
_atom_site_label
_atom_site_fract_x
_atom_site_fract_y
_atom_site_fract_z
Mg1 0.000 0.000 0.000
Fe1 0.000 0.000 0.332
Cl1 0.000 0.000 0.669
```

Calculated values
- ρ: 3.64 g/cm3

=====

Run Q
First-principles (PBE-GGA) data for an optimized crystal structure of MgFeCl, as listed in Alexandria via LeMat-Bulk.

CIF file:
```
data_MgFeCl
_cell_length_a 3.070
_cell_length_b 3.070
_cell_length_c 11.204
_cell_angle_alpha 90.00
_cell_angle_beta 90.00
_cell_angle_gamma 90.00
_symmetry_space_group_name_H-M 'I 4 m m'
_symmetry_Int_Tables_number 107
_symmetry_space_group_name_Hall 'I 4 -2'
loop_
_atom_site_label
_atom_site_fract_x
_atom_site_fract_y
_atom_site_fract_z
Mg1 0.000 0.000 0.000
Fe1 0.000 0.000 0.344
Cl1 0.000 0.000 0.707
```

Calculated values
- ρ: 3.64 g/cm3

=====

Verdict on stability: run Q comes out at the bottom.

=====

Run P
First-principles (PBE-GGA) data for an optimized crystal structure of Mg3FeCl, as listed in Alexandria via LeMat-Bulk.

CIF file:
```
data_Mg3FeCl
_cell_length_a 4.983
_cell_length_b 4.983
_cell_length_c 4.983
_cell_angle_alpha 90.00
_cell_angle_beta 90.00
_cell_angle_gamma 90.00
_symmetry_space_group_name_H-M 'P m -3 m'
_symmetry_Int_Tables_number 221
_symmetry_space_group_name_Hall '-P 4 2 3'
loop_
_atom_site_label
_atom_site_fract_x
_atom_site_fract_y
_atom_site_fract_z
Mg1 0.000 0.000 0.500
Fe1 0.000 0.000 0.000
Cl1 0.500 0.500 0.500
```

Calculated values
- ρ: 2.20 g/cm3

=====

Run Q
First-principles (PBE-GGA) data for an optimized crystal structure of Mg3FeCl, as listed in Alexandria via LeMat-Bulk.

CIF file:
```
data_Mg3FeCl
_cell_length_a 4.827
_cell_length_b 4.827
_cell_length_c 4.827
_cell_angle_alpha 90.00
_cell_angle_beta 90.00
_cell_angle_gamma 90.00
_symmetry_space_group_name_H-M 'P m -3 m'
_symmetry_Int_Tables_number 221
_symmetry_space_group_name_Hall '-P 4 2 3'
loop_
_atom_site_label
_atom_site_fract_x
_atom_site_fract_y
_atom_site_fract_z
Mg1 0.000 0.000 0.500
Fe1 0.500 0.500 0.500
Cl1 0.000 0.000 0.000
```

Calculated values
- ρ: 2.42 g/cm3

=====

Verdict on stability: run P comes out at the bottom.

=====

Run P
First-principles (PBE-GGA) data for an optimized crystal structure of MgFeP2Cl, as listed in Alexandria via LeMat-Bulk.

CIF file:
```
data_MgFeP2Cl
_cell_length_a 4.852
_cell_length_b 4.852
_cell_length_c 4.717
_cell_angle_alpha 90.00
_cell_angle_beta 90.00
_cell_angle_gamma 90.00
_symmetry_space_group_name_H-M 'P 4/m m m'
_symmetry_Int_Tables_number 123
_symmetry_space_group_name_Hall '-P 4 2'
loop_
_atom_site_label
_atom_site_fract_x
_atom_site_fract_y
_atom_site_fract_z
Mg1 0.000 0.000 0.000
Fe1 0.500 0.500 0.500
P1 0.000 0.500 0.000
Cl1 0.000 0.000 0.500
```

Calculated values
- ρ: 2.65 g/cm3

=====

Run Q
First-principles (PBE-GGA) data for an optimized crystal structure of MgFeP2Cl, as listed in Alexandria via LeMat-Bulk.

CIF file:
```
data_MgFeP2Cl
_cell_length_a 4.224
_cell_length_b 4.224
_cell_length_c 5.438
_cell_angle_alpha 90.00
_cell_angle_beta 90.00
_cell_angle_gamma 90.00
_symmetry_space_group_name_H-M 'P 4/m m m'
_symmetry_Int_Tables_number 123
_symmetry_space_group_name_Hall '-P 4 2'
loop_
_atom_site_label
_atom_site_fract_x
_atom_site_fract_y
_atom_site_fract_z
Mg1 0.000 0.000 0.000
Fe1 0.500 0.500 0.500
P1 0.000 0.500 0.500
Cl1 0.500 0.500 0.000
```

Calculated values
- ρ: 3.04 g/cm3

=====

Verdict on stability: run P comes out at the bottom.

=====

Run P
First-principles (PBE-GGA) data for an optimized crystal structure of MnFe2Cl, as listed in Alexandria via LeMat-Bulk.

CIF file:
```
data_MnFe2Cl
_cell_length_a 2.954
_cell_length_b 4.205
_cell_length_c 4.617
_cell_angle_alpha 90.00
_cell_angle_beta 90.00
_cell_angle_gamma 90.00
_symmetry_space_group_name_H-M 'P m m m'
_symmetry_Int_Tables_number 47
loop_
_symmetry_equiv_pos_as_xyz
'x,y,z'
'-x,-y,-z'
'-x,-y,z'
'x,y,-z'
'x,-y,-z'
'-x,y,z'
'-x,y,-z'
'x,-y,z'
loop_
_atom_site_label
_atom_site_fract_x
_atom_site_fract_y
_atom_site_fract_z
Mn1 0.000 0.000 0.000
Fe1 0.000 0.500 0.500
Fe2 0.500 0.000 0.500
Cl1 0.500 0.500 0.000
```

Calculated values
- ρ: 5.85 g/cm3

=====

Run Q
First-principles (PBE-GGA) data for an optimized crystal structure of MnFe2Cl, as listed in Alexandria via LeMat-Bulk.

CIF file:
```
data_MnFe2Cl
_cell_length_a 5.446
_cell_length_b 5.446
_cell_length_c 8.793
_cell_angle_alpha 90.00
_cell_angle_beta 90.00
_cell_angle_gamma 90.00
_symmetry_space_group_name_H-M 'I -4 2 d'
_symmetry_Int_Tables_number 122
_symmetry_space_group_name_Hall 'I -4 2bw'
loop_
_atom_site_label
_atom_site_fract_x
_atom_site_fract_y
_atom_site_fract_z
Mn1 0.000 0.000 0.000
Fe1 0.237 0.250 0.125
Cl1 0.000 0.000 0.500
```

Calculated values
- ρ: 5.15 g/cm3

=====

Run R
First-principles (PBE-GGA) data for an optimized crystal structure of MnFe2Cl, as listed in Alexandria via LeMat-Bulk.

CIF file:
```
data_MnFe2Cl
_cell_length_a 3.533
_cell_length_b 3.533
_cell_length_c 9.357
_cell_angle_alpha 90.00
_cell_angle_beta 90.00
_cell_angle_gamma 90.00
_symmetry_space_group_name_H-M 'I 4/m m m'
_symmetry_Int_Tables_number 139
_symmetry_space_group_name_Hall '-I 4 2'
loop_
_atom_site_label
_atom_site_fract_x
_atom_site_fract_y
_atom_site_fract_z
Mn1 0.000 0.000 0.000
Fe1 0.000 0.500 0.250
Cl1 0.000 0.000 0.500
```

Calculated values
- ρ: 5.75 g/cm3

=====

Run S
First-principles (PBE-GGA) data for an optimized crystal structure of MnFe2Cl, as listed in Alexandria via LeMat-Bulk.

CIF file:
```
data_MnFe2Cl
_cell_length_a 2.8805
_cell_length_b 2.8805
_cell_length_c 23.9021
_cell_angle_alpha 90.00
_cell_angle_beta 90.00
_cell_angle_gamma 120.00
_symmetry_space_group_name_H-M 'R -3 m'
_symmetry_Int_Tables_number 166
_symmetry_space_group_name_Hall '-R 3 2"'
loop_
_atom_site_label
_atom_site_fract_x
_atom_site_fract_y
_atom_site_fract_z
Mn1 0.0000 0.0000 0.0000
Fe1 0.0000 0.0000 0.2475
Cl1 0.0000 0.0000 0.5000
```

Calculated values
- ρ: 5.86 g/cm3

=====

Verdict on stability: run Q comes out at the bottom.